## DyCr2InO8 (PBE with a Hubbard U)

Data for DyCr2InO8 after structural relaxation. Values from VASP.

The structure in Quantum ESPRESSO input format:
```
&SYSTEM
  ibrav = 0, nat = 12, ntyp = 4
/
ATOMIC_SPECIES
Cr 52.00 Cr.upf
O 16.00 O.upf
Dy 162.50 Dy.upf
In 114.82 In.upf
ATOMIC_POSITIONS crystal
Cr 0.500 0.500 0.000
Cr 0.750 0.250 0.500
O 0.490 0.675 0.815
O 0.760 0.073 0.687
O 0.387 0.073 0.313
O 0.325 0.140 0.815
O 0.927 0.613 0.687
O 0.325 0.510 0.185
O 0.927 0.240 0.313
O 0.860 0.675 0.185
Dy 0.250 0.750 0.500
In 0.000 0.000 0.000
CELL_PARAMETERS angstrom
-1.013 3.401 4.753
-4.758 -1.480 -3.217
2.262 -5.085 2.050
```

Summary:
DOS(E_F) in states/eV per cell: 0.400
DFT total energy in eV/atom: -6.970